Entry 1:
VASP calculation (PBE) on an optimized crystal structure of PuScSn.

Lattice parameters (Å, degrees): 5.258 5.258 6.102 90.00 90.00 120.00
Atoms (fractional coordinates):
Pu  0.000  0.000  0.000
Pu  0.000  0.000  0.500
Sc  0.333  0.667  0.250
Sc  0.667  0.333  0.750
Sn  0.333  0.667  0.750
Sn  0.667  0.333  0.250

## Properties
E	-52.21	eV/cell
total magnetic moment	12.782	μB per cell
formation energy	-1.44	eV/f.u.
E above lowest polymorph	0.0000	eV/atom

***

Entry 2:
VASP calculation (PBE) on an optimized crystal structure of LiAl2Sn.

Lattice parameters (Å, degrees): 4.482 4.482 13.951 90.00 90.00 120.00
Atoms (fractional coordinates):
Li  0.000  0.000  0.000
Li  0.333  0.667  0.667
Li  0.667  0.333  0.333
Al  0.000  0.000  0.278
Al  0.000  0.000  0.722
Al  0.333  0.667  0.388
Al  0.333  0.667  0.945
Al  0.667  0.333  0.055
Al  0.667  0.333  0.612
Sn  0.000  0.000  0.500
Sn  0.333  0.667  0.167
Sn  0.667  0.333  0.833

## Properties
E	-39.06	eV/cell
total magnetic moment	0.000	μB per cell
formation energy	0.38	eV/f.u.

***

Entry 3:
VASP calculation (PBE) on an optimized crystal structure of Cu2Rh2W.

Lattice parameters (Å, degrees): 6.915 6.915 2.878 90.00 90.00 90.00
Atoms (fractional coordinates):
Cu  0.125  0.375  0.000
Cu  0.375  0.875  0.000
Cu  0.625  0.125  0.000
Cu  0.875  0.625  0.000
Rh  0.173  0.673  0.500
Rh  0.327  0.173  0.500
Rh  0.673  0.827  0.500
Rh  0.827  0.327  0.500
W  0.000  0.000  0.000
W  0.500  0.500  0.000

## Properties
E	-69.49	eV/cell
total magnetic moment	0.000	μB per cell
formation energy	1.11	eV/f.u.

***

Entry 4:
VASP calculation (PBE) on an optimized crystal structure of CrSb3.

Lattice parameters (Å, degrees): 7.906 3.198 7.975 90.00 95.51 90.00
Atoms (fractional coordinates):
Cr  0.000  0.000  0.000
Cr  0.500  0.500  0.000
Sb  0.000  0.500  0.500
Sb  0.228  0.500  0.207
Sb  0.272  0.000  0.793
Sb  0.500  0.000  0.500
Sb  0.728  0.000  0.207
Sb  0.772  0.500  0.793

## Properties
E	-41.77	eV/cell
total magnetic moment	7.330	μB per cell
E above lowest polymorph	0.1082	eV/atom

***

Number 2 is which compound? LiAl2Sn

***

Which formula does entry 3 have? Cu2Rh2W

***

Which value of total magnetic moment does entry 3 give? 0.000 μB per cell

***

What is the E in the second record? -39.06 eV/cell